Entry 1:
Crystalline Gd2MgPd2 at its relaxed geometry, computed with GGA-PBE.

a b c (Å): 7.6298 3.8869 7.6309
angles (deg): 90.00 90.01 90.00
Closest atoms and distances in Å follow each position.
Positions (direct):
Gd 0.3304 0.5000 0.1698  6 Pd 2.89-3.03
Gd 0.8305 0.5000 0.3302  6 Pd 2.89-3.03
Gd 0.1704 0.5000 0.6691  6 Pd 2.89-3.03
Gd 0.6692 0.5000 0.8297  6 Pd 2.88-3.03
Mg 0.5008 0.0000 0.4997  4 Pd 2.97-2.99
Mg 0.9995 0.0000 0.9993  4 Pd 2.97-2.99
Pd 0.6324 0.0000 0.1329  1 Pd 2.86, 6 Gd 2.89-3.03, 2 Mg 2.97-2.98
Pd 0.1323 0.0000 0.3676  1 Pd 2.86, 6 Gd 2.89-3.03, 2 Mg 2.99
Pd 0.8678 0.0000 0.6333  1 Pd 2.86, 6 Gd 2.88-3.03, 2 Mg 2.97-2.98
Pd 0.3666 0.0000 0.8683  1 Pd 2.86, 6 Gd 2.89-3.03, 2 Mg 2.97-2.99



Entry 2:
Crystalline Gd2MgPd2 at its relaxed geometry, computed with GGA-PBE.

a b c (Å): 7.6802 7.6802 3.8408
angles (deg): 90.00 90.00 90.00
Closest atoms and distances in Å follow each position.
Positions (direct):
Gd 0.3312 0.1688 0.5000  6 Pd 2.89-3.02
Gd 0.8312 0.3312 0.5000  6 Pd 2.89-3.02
Gd 0.1688 0.6688 0.5000  6 Pd 2.89-3.02
Gd 0.6688 0.8312 0.5000  6 Pd 2.89-3.02
Mg 0.0000 0.0000 0.0000  4 Pd 3.00
Mg 0.5000 0.5000 0.0000  4 Pd 3.00
Pd 0.6321 0.1321 0.0000  1 Pd 2.87, 6 Gd 2.89-3.02, 2 Mg 3.00
Pd 0.1321 0.3679 0.0000  1 Pd 2.87, 6 Gd 2.89-3.02, 2 Mg 3.00
Pd 0.8679 0.6321 0.0000  1 Pd 2.87, 6 Gd 2.89-3.02, 2 Mg 3.00
Pd 0.3679 0.8679 0.0000  1 Pd 2.87, 6 Gd 2.89-3.02, 2 Mg 3.00



Entry 3:
Crystalline GdMgPd at its relaxed geometry, computed with GGA-PBE.

Output
Relative energy among the computed polymorphs (meV/atom): 137

a b c (Å): 4.7311 4.7311 6.7194
angles (deg): 90.00 90.00 120.00
Closest atoms and distances in Å follow each position.
Positions (direct):
Gd 0.0000 0.0000 0.0000  6 Pd 3.21, 6 Mg 3.21, 2 Gd 3.36
Gd 0.0000 0.0000 0.5000  6 Mg 3.21, 6 Pd 3.21, 2 Gd 3.36
Mg 0.3333 0.6667 0.2500  3 Pd 2.73
Mg 0.6667 0.3333 0.7500  3 Pd 2.73
Pd 0.6667 0.3333 0.2500  3 Mg 2.73
Pd 0.3333 0.6667 0.7500  3 Mg 2.73



Entry 4:
Crystalline GdMg2Pd at its relaxed geometry, computed with GGA-PBE.

a b c (Å): 4.3459 4.4668 4.3417
angles (deg): 90.00 90.00 90.00
Closest atoms and distances in Å follow each position.
Positions (direct):
Gd 0.0000 0.0000 0.2509  4 Pd 3.06-3.08, 8 Mg 3.11-3.12
Mg 0.5000 0.5000 0.2463  4 Mg 3.06-3.08, 4 Pd 3.09-3.14, 4 Gd 3.12
Mg 0.0000 0.5000 0.7491  4 Mg 3.06-3.08, 4 Gd 3.11-3.12, 4 Pd 3.12
Pd 0.5000 0.0000 0.7537  4 Gd 3.06-3.08, 8 Mg 3.09-3.14



Quick rundown of electronic total energy, same order as above: -5.0085, -5.0087, -4.3401, -3.5239 eV/atom